DFT (PBE) results for crystalline NaTb2Sc at its relaxed geometry.

Properties
Space-group type: R-3m (166)
DFT formation energy in eV/atom: 0.157
ΔE to the lowest computed polymorph in eV per atom: 0.008

abc: 3.429 3.429 12.512
angles: 82.13 82.13 60.00
Sites, in units of the cell vectors:
Tb1 0.095 0.095 0.716
Na1 0.000 0.000 0.000
Sc1 0.500 0.500 0.500
Tb2 0.905 0.905 0.284

---

DFT (PBE) results for crystalline NaTbSc at its relaxed geometry.

Properties
Space-group type: P4/nmm (129)
DFT formation energy in eV/atom: 0.406
ΔE to the lowest computed polymorph in eV per atom: 0.222

abc: 4.049 4.049 12.029
angles: 90.00 90.00 90.00
Sites, in units of the cell vectors:
Na1 0.000 0.500 0.420
Tb1 0.500 0.000 0.223
Tb2 0.000 0.500 0.777
Sc1 0.500 0.500 0.000
Na2 0.500 0.000 0.580
Sc2 0.000 0.000 0.000

---

| no. | total magnetic moment (Bohr magnetons per cell) | ρ (Mg/m³) |
| --- | --- | --- |
| 1 | 0.0 | 5.09 |
| 2 | 0.0 | 3.82 |